Record 1
Density functional theory data (PBE) for an optimized crystal structure of K8H8Pt3.

space group: No. 12
E_tot: -3.1121 eV/atom

a b c (Å): 5.430 7.906 10.716
angles (deg): 110.07 104.68 90.00
Atoms (fractional coordinates):
K1 0.337 0.556 0.674
K2 0.391 0.073 0.783
Pt1 0.174 0.183 0.348
K3 0.022 0.275 0.044
Pt2 0.826 0.817 0.652
Pt3 0.500 0.500 0.000
K4 0.784 0.206 0.567
H1 0.259 0.180 0.519
H2 0.479 0.685 0.957
H3 0.875 0.038 0.749
H4 0.190 0.408 0.380
K5 0.978 0.725 0.956
H5 0.810 0.592 0.620
K6 0.609 0.927 0.217
H6 0.521 0.315 0.043
K7 0.663 0.444 0.326
H7 0.125 0.962 0.251
K8 0.216 0.794 0.433
H8 0.741 0.820 0.481

---

Record 2
Density functional theory data (PBE) for an optimized crystal structure of AlW2Se.

E above lowest polymorph: 193 meV per atom
E_form (uncorrected): 1.258 eV per formula unit
space group: No. 35
E_tot: -7.9688 eV/atom

a b c (Å): 2.826 2.826 9.285
angles (deg): 90.00 90.00 110.93
Atoms (fractional coordinates):
W1 0.500 0.500 0.241
W2 0.000 0.000 0.008
Al1 0.000 0.000 0.475
Se1 0.500 0.500 0.776

---

Record 3
Density functional theory data (PBE) for an optimized crystal structure of InHg2Pb2.

calculated formation energy: 107 meV/atom
E above lowest polymorph: 50 meV per atom
space group: No. 71
E_tot: -2.0447 eV/atom

a b c (Å): 3.181 3.267 14.765
angles (deg): 96.35 96.18 90.00
Atoms (fractional coordinates):
Hg1 0.794 0.294 0.588
Pb1 0.893 0.893 0.786
Pb2 0.107 0.107 0.214
Hg2 0.206 0.706 0.412
In1 0.000 0.000 0.000

---

Record 4
Density functional theory data (PBE) for an optimized crystal structure of Nd14Ag51.

calculated formation energy: -234 meV/atom
space group: No. 174
E_tot: -3.4984 eV/atom

a b c (Å): 12.992 12.992 9.514
angles (deg): 90.00 90.00 120.00
Atoms (fractional coordinates):
Nd1 0.781 0.714 0.000
Ag1 0.290 0.842 0.153
Ag2 0.329 0.437 0.333
Ag3 0.563 0.892 0.333
Ag4 0.000 0.000 0.704
Ag5 0.844 0.275 0.500
Ag6 0.907 0.514 0.500
Nd2 0.067 0.618 0.000
Nd3 0.933 0.219 0.000
Ag7 0.158 0.449 0.847
Ag8 0.396 0.260 0.241
Ag9 0.864 0.604 0.759
Ag10 0.563 0.892 0.667
Nd4 0.551 0.933 0.000
Ag11 0.932 0.409 0.767
Ag12 0.551 0.710 0.847
Nd5 0.667 0.333 0.697
Nd6 0.132 0.473 0.500
Ag13 0.168 0.218 0.152
Ag14 0.290 0.842 0.847
Ag15 0.771 0.769 0.331
Nd7 0.382 0.449 0.000
Nd8 0.341 0.868 0.500
Ag16 0.168 0.218 0.848
Ag17 0.333 0.667 0.000
Nd9 0.996 0.805 0.500
Ag18 0.158 0.449 0.153
Ag19 0.998 0.229 0.669
Ag20 0.486 0.393 0.500
Ag21 0.550 0.349 0.000
Ag22 0.231 0.002 0.669
Ag23 0.740 0.136 0.241
Nd10 0.667 0.333 0.303
Nd11 0.809 0.004 0.500
Ag24 0.551 0.710 0.153
Ag25 0.231 0.002 0.331
Ag26 0.799 0.450 0.000
Nd12 0.527 0.659 0.500
Ag27 0.782 0.950 0.848
Nd13 0.195 0.191 0.500
Ag28 0.740 0.136 0.759
Ag29 0.998 0.229 0.331
Ag30 0.478 0.068 0.233
Ag31 0.050 0.832 0.152
Ag32 0.050 0.832 0.848
Ag33 0.651 0.201 0.000
Ag34 0.329 0.437 0.667
Ag35 0.478 0.068 0.767
Ag36 0.591 0.522 0.767
Ag37 0.782 0.950 0.152
Ag38 0.725 0.569 0.500
Ag39 0.591 0.522 0.233
Ag40 0.607 0.093 0.500
Ag41 0.932 0.409 0.233
Ag42 0.396 0.260 0.759
Ag43 0.108 0.671 0.667
Ag44 0.000 0.000 0.296
Ag45 0.864 0.604 0.241
Nd14 0.286 0.067 0.000
Ag46 0.771 0.769 0.669
Ag47 0.333 0.667 0.297
Ag48 0.431 0.156 0.500
Ag49 0.108 0.671 0.333
Ag50 0.333 0.667 0.703
Ag51 0.000 0.000 0.000

---

Record 5
Density functional theory data (PBE) for an optimized crystal structure of MgS3Cl.

E above lowest polymorph: 0 meV per atom
E_form (uncorrected): 2.593 eV per formula unit
space group: No. 221
E_tot: -2.6461 eV/atom

a b c (Å): 4.800 4.800 4.800
angles (deg): 90.00 90.00 90.00
Atoms (fractional coordinates):
Mg1 0.000 0.000 0.000
S1 0.000 0.500 0.000
Cl1 0.500 0.500 0.500
S2 0.500 0.000 0.000
S3 0.000 0.000 0.500

---

Record 6
Density functional theory data (PBE) for an optimized crystal structure of LaNdEr2Tl4.

calculated formation energy: -356 meV/atom
space group: No. 166
E_tot: -3.8922 eV/atom

a b c (Å): 5.456 5.456 9.473
angles (deg): 73.26 73.26 60.00
Atoms (fractional coordinates):
Tl1 0.126 0.126 0.623
Er1 0.750 0.750 0.749
Er2 0.250 0.250 0.251
Tl2 0.874 0.874 0.377
Nd1 0.500 0.500 0.500
Tl3 0.376 0.376 0.872
La1 0.000 0.000 0.000
Tl4 0.624 0.624 0.128

---

Record 7
Density functional theory data (PBE) for an optimized crystal structure of Y2Sb2Pd.

E above lowest polymorph: 425 meV per atom
E_form (uncorrected): -1.964 eV per formula unit
space group: No. 139
E_tot: -5.6659 eV/atom

a b c (Å): 4.105 4.105 8.707
angles (deg): 76.37 76.37 90.00
Atoms (fractional coordinates):
Y1 0.599 0.599 0.801
Sb1 0.750 0.250 0.500
Sb2 0.250 0.750 0.500
Y2 0.401 0.401 0.199
Pd1 0.000 0.000 0.000

---

Record 8
Density functional theory data (PBE) for an optimized crystal structure of Pr3Sm2PuN6.

E_form (uncorrected): -16.197 eV per formula unit
space group: No. 12
E_tot: -8.6881 eV/atom

a b c (Å): 6.237 6.237 6.264
angles (deg): 99.60 99.60 119.91
Atoms (fractional coordinates):
Sm1 0.334 0.666 0.000
Pr1 0.500 0.500 0.500
Pu1 0.000 0.000 0.000
N1 0.239 0.239 0.765
N2 0.923 0.609 0.769
Pr2 0.166 0.834 0.500
Pr3 0.834 0.166 0.500
N3 0.609 0.923 0.769
Sm2 0.666 0.334 0.000
N4 0.391 0.077 0.231
N5 0.077 0.391 0.231
N6 0.761 0.761 0.235